NaTmS2O8 after structural relaxation. Source: Alexandria via LeMat-Bulk, functional PBE.

The density of states at the Fermi level is 0.0 states/eV/cell. The calculation puts the uncorrected formation energy at -2.073 eV/atom. The crystal system is monoclinic.

abc: 4.745 6.850 9.908
angles: 90.00 97.26 90.00
Sites, in units of the cell vectors:
Na1 0.113 0.250 0.362
Na2 0.887 0.750 0.638
Tm1 0.146 0.250 0.826
Tm2 0.854 0.750 0.174
S1 0.336 0.750 0.396
S2 0.352 0.750 0.929
S3 0.648 0.250 0.071
S4 0.664 0.250 0.604
O1 0.178 0.578 0.329
O2 0.178 0.922 0.329
O3 0.240 0.575 0.853
O4 0.240 0.925 0.853
O5 0.266 0.750 0.070
O6 0.332 0.250 0.053
O7 0.340 0.750 0.543
O8 0.366 0.250 0.638
O9 0.634 0.750 0.362
O10 0.660 0.250 0.457
O11 0.668 0.750 0.947
O12 0.734 0.250 0.930
O13 0.760 0.075 0.147
O14 0.760 0.425 0.147
O15 0.822 0.078 0.671
O16 0.822 0.422 0.671